BeFeBr | Alexandria | PBE | optimized geometry; D(E_F) = 1.88 states/eV/f.u.; relative energy among the computed polymorphs = 0.47 eV per formula unit; total DFT energy (no corrections) = -3.9989 eV/atom
1.0
-4.830 -3.480 -2.201
-4.844 -3.254 0.971
-1.998 1.698 -1.798
Be Br Fe
1 1 1
Cartesian
-1.999 1.696 -1.798
-4.701 -1.271 -1.598
-6.969 -3.762 -1.430